1.
Entry from Alexandria via LeMat-Bulk: a relaxed Na3CoSi crystal (GGA-PBE).

a b c (Å): 5.5628 5.5628 5.5628
angles (deg): 90.00 90.00 90.00
With the nearest neighbours (Å) after each atom.
Element x y z (fractional)
Na (0.0000, 0.0000, 0.5000)  2 Si 2.78
Na (0.0000, 0.5000, 0.0000)  2 Si 2.78
Na (0.5000, 0.0000, 0.0000)  2 Si 2.78
Co (0.5000, 0.5000, 0.5000)  12 Na 3.93
Si (0.0000, 0.0000, 0.0000)  6 Na 2.78

Spin magnetization ... 3.8 μB per cell
SG ... No. 221
Volume ... 172 Å³/cell
D(E_F) ... 7.1 states/eV/f.u.

---

2.
Entry from Alexandria via LeMat-Bulk: a relaxed Na3CoSi crystal (GGA-PBE).

a b c (Å): 5.2528 5.2528 5.2528
angles (deg): 90.00 90.00 90.00
With the nearest neighbours (Å) after each atom.
Element x y z (fractional)
Na (0.0000, 0.0000, 0.5000)  2 Co 2.63
Na (0.0000, 0.5000, 0.0000)  2 Co 2.63
Na (0.5000, 0.0000, 0.0000)  2 Co 2.63
Co (0.0000, 0.0000, 0.0000)  6 Na 2.63
Si (0.5000, 0.5000, 0.5000)  12 Na 3.71

Spin magnetization ... 2.4 μB per cell
SG ... No. 221
Volume ... 145 Å³/cell
D(E_F) ... 5.2 states/eV/f.u.

---

Relative energy of each structure, in eV/atom: 1 0.000; 2 0.058.

---

1.
Entry from Alexandria via LeMat-Bulk: a relaxed NaSm2Co crystal (GGA-PBE).

a b c (Å): 3.4361 3.4361 9.4622
angles (deg): 90.00 90.00 90.00
With the nearest neighbours (Å) after each atom.
Element x y z (fractional)
Na (0.0000, 0.0000, 0.0000)  4 Na 3.44
Sm (0.5000, 0.5000, 0.3269)  4 Co 2.93, 1 Sm 3.28
Sm (0.5000, 0.5000, 0.6731)  4 Co 2.93, 1 Sm 3.28
Co (0.0000, 0.0000, 0.5000)  8 Sm 2.93

Spin magnetization ... 0.6 μB per cell
SG ... No. 123
Volume ... 112 Å³/cell
D(E_F) ... 3.4 states/eV/f.u.

---

2.
Entry from Alexandria via LeMat-Bulk: a relaxed NaSm2Co crystal (GGA-PBE).

a b c (Å): 10.6745 10.6745 10.6745
angles (deg): 21.00 21.00 21.00
With the nearest neighbours (Å) after each atom.
Element x y z (fractional)
Na (0.0000, 0.0000, 0.0000)  2 Sm 3.75, 6 Na 3.89
Sm (0.1197, 0.1197, 0.1197)  3 Co 2.68
Sm (0.8803, 0.8803, 0.8803)  3 Co 2.68
Co (0.5000, 0.5000, 0.5000)  6 Sm 2.68

Spin magnetization ... 0.0 μB per cell
SG ... No. 166
Volume ... 137 Å³/cell
D(E_F) ... 3.7 states/eV/f.u.

---

Relative energy of each structure, in eV/atom: 1 0.000; 2 0.036.

---

1.
Entry from Alexandria via LeMat-Bulk: a relaxed NaCoSn3 crystal (GGA-PBE).

a b c (Å): 8.8304 4.3457 11.8208
angles (deg): 90.00 90.00 90.00
With the nearest neighbours (Å) after each atom.
Element x y z (fractional)
Na (0.1768, 0.2500, 0.0047)  8 Sn 3.24-3.59, 2 Co 3.55
Na (0.3232, 0.7500, 0.5047)  8 Sn 3.24-3.59, 2 Co 3.55
Na (0.6768, 0.2500, 0.4953)  8 Sn 3.24-3.59, 2 Co 3.55
Na (0.8232, 0.7500, 0.9953)  8 Sn 3.24-3.59, 2 Co 3.55
Co (0.0743, 0.2500, 0.6525)  7 Sn 2.55-2.77
Co (0.4257, 0.7500, 0.1525)  7 Sn 2.55-2.77
Co (0.5743, 0.2500, 0.8475)  7 Sn 2.55-2.77
Co (0.9257, 0.7500, 0.3475)  7 Sn 2.55-2.77
Sn (0.0725, 0.2500, 0.4260)  3 Co 2.68-2.70
Sn (0.1135, 0.7500, 0.7945)  2 Co 2.77, 1 Sn 3.08
Sn (0.1458, 0.7500, 0.2066)  2 Co 2.55-2.56
Sn (0.3542, 0.2500, 0.7066)  2 Co 2.55-2.56
Sn (0.3865, 0.2500, 0.2945)  2 Co 2.77, 1 Sn 3.08
Sn (0.4275, 0.7500, 0.9260)  3 Co 2.68-2.70
Sn (0.5725, 0.2500, 0.0740)  3 Co 2.68-2.70
Sn (0.6135, 0.7500, 0.7055)  2 Co 2.77, 1 Sn 3.08
Sn (0.6458, 0.7500, 0.2934)  2 Co 2.55-2.56
Sn (0.8542, 0.2500, 0.7934)  2 Co 2.55-2.56
Sn (0.8865, 0.2500, 0.2055)  2 Co 2.77, 1 Sn 3.08
Sn (0.9275, 0.7500, 0.5740)  3 Co 2.68-2.70

Spin magnetization ... 0.8 μB per cell
SG ... No. 62
Volume ... 454 Å³/cell
D(E_F) ... 3.1 states/eV/f.u.

---

2.
Entry from Alexandria via LeMat-Bulk: a relaxed NaCoSn3 crystal (GGA-PBE).

a b c (Å): 5.3068 5.3068 5.3068
angles (deg): 90.00 90.00 90.00
With the nearest neighbours (Å) after each atom.
Element x y z (fractional)
Na (0.0000, 0.0000, 0.0000)  6 Sn 2.65
Co (0.5000, 0.5000, 0.5000)  12 Sn 3.75
Sn (0.0000, 0.0000, 0.5000)  2 Na 2.65
Sn (0.0000, 0.5000, 0.0000)  2 Na 2.65
Sn (0.5000, 0.0000, 0.0000)  2 Na 2.65

Spin magnetization ... 1.9 μB per cell
SG ... No. 221
Volume ... 149 Å³/cell
D(E_F) ... 14.8 states/eV/f.u.

---

Relative energy of each structure, in eV/atom: 1 0.000; 2 1.346.

---

1.
Entry from Alexandria via LeMat-Bulk: a relaxed NaCo2Sn2 crystal (GGA-PBE).

a b c (Å): 5.7029 5.7029 5.7029
angles (deg): 133.21 133.21 68.33
With the nearest neighbours (Å) after each atom.
Element x y z (fractional)
Na (0.0000, 0.0000, 0.0000)  8 Sn 3.27, 10 Co 3.38-3.64
Co (0.3852, 0.3852, 0.0000)  1 Co 2.17
Co (0.6148, 0.6148, 0.0000)  1 Co 2.17
Sn (0.2500, 0.7500, 0.5000)  4 Co 2.60
Sn (0.7500, 0.2500, 0.5000)  4 Co 2.60

Spin magnetization ... 0.0 μB per cell
SG ... No. 139
Volume ... 97 Å³/cell
D(E_F) ... 3.2 states/eV/f.u.

---

2.
Entry from Alexandria via LeMat-Bulk: a relaxed NaCo2Sn2 crystal (GGA-PBE).

a b c (Å): 6.5299 6.5299 6.5299
angles (deg): 143.16 143.16 53.09
With the nearest neighbours (Å) after each atom.
Element x y z (fractional)
Na (0.0000, 0.0000, 0.0000)  8 Sn 3.28, 8 Co 3.58
Co (0.2500, 0.7500, 0.5000)  4 Sn 2.51
Co (0.7500, 0.2500, 0.5000)  4 Sn 2.51
Sn (0.3716, 0.3716, 0.0000)  4 Co 2.51
Sn (0.6284, 0.6284, 0.0000)  4 Co 2.51

Spin magnetization ... 0.0 μB per cell
SG ... No. 139
Volume ... 99 Å³/cell
D(E_F) ... 3.7 states/eV/f.u.

---

Relative energy of each structure, in eV/atom: 1 0.072; 2 0.000.

---

1.
Entry from Alexandria via LeMat-Bulk: a relaxed Na2SrCo crystal (GGA-PBE).

a b c (Å): 5.4139 5.4139 5.4139
angles (deg): 60.00 60.00 60.00
With the nearest neighbours (Å) after each atom.
Element x y z (fractional)
Na (0.2500, 0.2500, 0.2500)  4 Co 3.32, 4 Sr 3.32
Na (0.7500, 0.7500, 0.7500)  4 Co 3.32, 4 Sr 3.32
Sr (0.0000, 0.0000, 0.0000)  8 Na 3.32
Co (0.5000, 0.5000, 0.5000)  8 Na 3.32

Spin magnetization ... 1.3 μB per cell
SG ... No. 225
Volume ... 112 Å³/cell
D(E_F) ... 21.0 states/eV/f.u.

---

2.
Entry from Alexandria via LeMat-Bulk: a relaxed Na2SrCo crystal (GGA-PBE).

a b c (Å): 12.7351 12.7351 12.7351
angles (deg): 159.86 159.86 28.64
With the nearest neighbours (Å) after each atom.
Element x y z (fractional)
Na (0.0948, 0.6250, 0.9698)  2 Na 2.97
Na (0.3750, 0.3448, 0.4698)  2 Na 2.97
Na (0.6552, 0.1250, 0.0302)  2 Na 2.97
Na (0.8750, 0.9052, 0.5302)  2 Na 2.97
Sr (0.2500, 0.7500, 0.5000)  4 Co 3.15, 4 Na 3.51
Sr (0.5000, 0.5000, 0.0000)  4 Co 3.15, 4 Na 3.51
Co (0.0000, 0.0000, 0.0000)  4 Sr 3.15, 4 Na 3.42
Co (0.7500, 0.2500, 0.5000)  4 Sr 3.15, 4 Na 3.42

Spin magnetization ... 2.9 μB per cell
SG ... No. 122
Volume ... 245 Å³/cell
D(E_F) ... 2.9 states/eV/f.u.

---

Relative energy of each structure, in eV/atom: 1 0.070; 2 0.000.

---

1.
Entry from Alexandria via LeMat-Bulk: a relaxed NaTa2Co crystal (GGA-PBE).

a b c (Å): 9.7831 9.7831 9.7831
angles (deg): 156.86 156.86 32.96
With the nearest neighbours (Å) after each atom.
Element x y z (fractional)
Na (0.0000, 0.0000, 0.0000)  4 Ta 2.75, 4 Co 2.78
Na (0.7500, 0.2500, 0.5000)  4 Ta 2.75, 4 Co 2.78
Ta (0.1452, 0.6250, 0.0202)  4 Ta 2.67-2.89, 2 Co 2.70, 2 Na 2.75
Ta (0.3750, 0.3952, 0.5202)  4 Ta 2.67-2.89, 2 Co 2.70, 2 Na 2.75
Ta (0.6048, 0.1250, 0.9798)  4 Ta 2.67-2.89, 2 Co 2.70, 2 Na 2.75
Ta (0.8750, 0.8548, 0.4798)  4 Ta 2.67-2.89, 2 Co 2.70, 2 Na 2.75
Co (0.2500, 0.7500, 0.5000)  4 Ta 2.70, 4 Na 2.78
Co (0.5000, 0.5000, 0.0000)  4 Ta 2.70, 4 Na 2.78

Spin magnetization ... 0.0 μB per cell
SG ... No. 122
Volume ... 145 Å³/cell
D(E_F) ... 2.6 states/eV/f.u.

---

2.
Entry from Alexandria via LeMat-Bulk: a relaxed NaTa2Co crystal (GGA-PBE).

a b c (Å): 4.4854 4.4854 4.4854
angles (deg): 60.00 60.00 60.00
With the nearest neighbours (Å) after each atom.
Element x y z (fractional)
Na (0.0000, 0.0000, 0.0000)  8 Ta 2.75
Ta (0.2500, 0.2500, 0.2500)  4 Co 2.75, 4 Na 2.75
Ta (0.7500, 0.7500, 0.7500)  4 Co 2.75, 4 Na 2.75
Co (0.5000, 0.5000, 0.5000)  8 Ta 2.75

Spin magnetization ... 0.0 μB per cell
SG ... No. 225
Volume ... 64 Å³/cell
D(E_F) ... 5.8 states/eV/f.u.

---

Relative energy of each structure, in eV/atom: 1 0.337; 2 0.000.

---

1.
Entry from Alexandria via LeMat-Bulk: a relaxed NaCoTe3 crystal (GGA-PBE).

a b c (Å): 5.1664 5.1664 5.1664
angles (deg): 90.00 90.00 90.00
With the nearest neighbours (Å) after each atom.
Element x y z (fractional)
Na (0.0000, 0.0000, 0.0000)  12 Te 3.65
Co (0.5000, 0.5000, 0.5000)  6 Te 2.58
Te (0.0000, 0.5000, 0.5000)  2 Co 2.58
Te (0.5000, 0.0000, 0.5000)  2 Co 2.58
Te (0.5000, 0.5000, 0.0000)  2 Co 2.58

Spin magnetization ... 1.3 μB per cell
SG ... No. 221
Volume ... 138 Å³/cell
D(E_F) ... 6.0 states/eV/f.u.

---

2.
Entry from Alexandria via LeMat-Bulk: a relaxed NaCoTe3 crystal (GGA-PBE).

a b c (Å): 5.4381 5.4381 5.4381
angles (deg): 90.00 90.00 90.00
With the nearest neighbours (Å) after each atom.
Element x y z (fractional)
Na (0.0000, 0.0000, 0.0000)  6 Te 2.72
Co (0.5000, 0.5000, 0.5000)  12 Te 3.85
Te (0.0000, 0.0000, 0.5000)  2 Na 2.72
Te (0.0000, 0.5000, 0.0000)  2 Na 2.72
Te (0.5000, 0.0000, 0.0000)  2 Na 2.72

Spin magnetization ... 1.9 μB per cell
SG ... No. 221
Volume ... 161 Å³/cell
D(E_F) ... 16.0 states/eV/f.u.

---

Relative energy of each structure, in eV/atom: 1 0.000; 2 1.110.